No. 1
Density functional theory data (PBE) for an optimized crystal structure of NiSn2Au2.

The value obtained for the energy relative to the elements is 0.109 eV per atom.

The space group is P4/mbm (No. 127) and the conventional cell measures 7.056, 7.056 and 4.148 Å, with angles of 90.00, 90.00 and 90.00 degrees. The inequivalent atoms are Ni at (0.000, 0.000, 0.000), Sn at (0.170, 0.330, 0.500) and Au at (0.145, 0.645, 0.000).

No. 2
Density functional theory data (PBE) for an optimized crystal structure of Ho9Er2Tm.

The value obtained for the energy relative to the elements is 0.058 eV per atom.

The space group is P6/mmm (No. 191) and the conventional cell measures 11.0866, 11.0866 and 3.4611 Å, with angles of 90.00, 90.00 and 120.00 degrees. The inequivalent atoms are Ho at (0.0000, 0.5000, 0.0000), Ho at (0.1759, 0.3518, 0.5000), Er at (0.3333, 0.6667, 0.0000) and Tm at (0.0000, 0.0000, 0.0000).

No. 3
Density functional theory data (PBE) for an optimized crystal structure of K2InSi2.

The uncorrected formation energy is 0.32 eV per atom.

The space group is P4/mbm (No. 127) and the conventional cell measures 9.506, 9.506 and 3.309 Å, with angles of 90.00, 90.00 and 90.00 degrees. The inequivalent atoms are K at (0.205, 0.295, 0.000), In at (0.000, 0.000, 0.500) and Si at (0.085, 0.585, 0.500).

No. 4
Density functional theory data (PBE) for an optimized crystal structure of Rb2SrAuBr6.

The uncorrected formation energy is -1.27 eV per atom.

The space group is I4/mmm (No. 139) and the conventional cell measures 8.290, 8.290 and 11.119 Å, with angles of 90.00, 90.00 and 90.00 degrees. The inequivalent atoms are Rb at (0.000, 0.500, 0.250), Sr at (0.000, 0.000, 0.000), Au at (0.000, 0.000, 0.500), Br at (0.000, 0.000, 0.271) and Br at (0.246, 0.246, 0.500).

Number 1: V 20.6 A^3/atom, final energy -39.59 eV/cell. Number 2: V 30.7 A^3/atom, final energy -54.10 eV/cell. Number 3: V 29.9 A^3/atom, final energy -28.33 eV/cell. Number 4: V 38.2 A^3/atom, final energy -59.28 eV/cell.